[1]
BaSi2TcHg, relaxed, DFT PBE-GGA; calculated total energy = -4.873 eV per atom; space group = P4/mmm
1.0
4.727 0.000 0.000
0.000 4.727 0.000
0.000 0.000 5.380
Hg Ba Tc Si
1 1 1 2
Direct
0.000 0.000 0.500 Hg
0.500 0.500 0.500 Ba
0.000 0.000 0.000 Tc
0.000 0.500 0.000 Si
0.500 0.000 0.000 Si


[2]
LiZnSCl, relaxed, DFT PBE-GGA; calculated total energy = -3.544 eV per atom; space group = Cm
1.0
3.870 -0.003 -0.007
-1.933 3.353 0.007
-1.919 -1.126 6.438
S Li Cl Zn
1 1 1 1
Direct
0.199 0.485 0.684 S
0.453 0.610 0.063 Li
0.209 0.988 0.197 Cl
0.467 0.118 0.586 Zn


Please write out number 1 again, unchanged.
BaSi2TcHg, relaxed, DFT PBE-GGA; calculated total energy = -4.873 eV per atom; space group = P4/mmm
1.0
4.727 0.000 0.000
0.000 4.727 0.000
0.000 0.000 5.380
Hg Ba Tc Si
1 1 1 2
Direct
0.000 0.000 0.500 Hg
0.500 0.500 0.500 Ba
0.000 0.000 0.000 Tc
0.000 0.500 0.000 Si
0.500 0.000 0.000 Si